BaNpTe4Pd after structural relaxation, computed with GGA-PBE.

Values from the calculation:
Crystal system = monoclinic
Uncorrected formation energy = -18.508 kcal/mol of atoms

Lattice parameters (Å, degrees): 7.701 6.314 9.624 90.00 109.56 90.00
Space group P2_1/m (No. 11)
Symmetry-distinct sites (fractional):
Ba1 0.234 0.250 0.066
Np1 0.282 0.250 0.562
Te1 0.028 0.504 0.712
Te2 0.419 0.750 0.592
Te3 0.445 0.750 0.120
Pd1 0.254 0.750 0.301